A crystal of SiNi2Mo relaxed with PBEsol, computed with SCAN.

```
SiNi2Mo
1.0
3.743 0.000 0.000
0.000 1.317 4.873
0.000 -1.317 4.873
Si Ni Mo
1 2 1
Direct
0.000 0.000 0.000 Si
0.000 0.733 0.733 Ni
0.500 0.121 0.121 Ni
0.500 0.372 0.372 Mo
```

Calculated values
D(E_F), states/eV per cell: 2.4
Calculated total energy, eV per atom: -19.510
Formation energy from raw total energies, eV per atom: -0.198

A crystal of SiNiMo relaxed with PBEsol, computed with SCAN.

```
SiNiMo
1.0
2.696 0.000 0.000
-1.348 2.335 0.000
0.000 0.000 6.093
Si Ni Mo
1 1 1
Direct
0.000 0.000 0.000 Si
0.667 0.333 0.293 Ni
0.333 0.667 0.645 Mo
```

Calculated values
D(E_F), states/eV per cell: 1.2
Calculated total energy, eV per atom: -20.394
Formation energy from raw total energies, eV per atom: -0.036

A crystal of SiNiMo2 relaxed with PBEsol, computed with SCAN.

```
SiNiMo2
1.0
1.357 0.784 8.505
-1.357 0.784 8.505
0.000 -1.567 8.505
Si Ni Mo
1 1 2
Direct
0.000 0.000 0.000 Si
0.500 0.500 0.500 Ni
0.249 0.249 0.249 Mo
0.751 0.751 0.751 Mo
```

Calculated values
D(E_F), states/eV per cell: 3.0
Calculated total energy, eV per atom: -23.816
Formation energy from raw total energies, eV per atom: 0.174

A crystal of SiNiMo2 relaxed with PBEsol, computed with SCAN.

```
SiNiMo2
1.0
3.309 0.000 0.000
0.000 3.954 0.000
0.000 0.000 4.060
Si Ni Mo
1 1 2
Direct
0.000 0.000 0.000 Si
0.500 0.500 0.000 Ni
0.000 0.500 0.500 Mo
0.500 0.000 0.500 Mo
```

Calculated values
D(E_F), states/eV per cell: 2.0
Calculated total energy, eV per atom: -24.105
Formation energy from raw total energies, eV per atom: -0.115

A crystal of SiNiMo2 relaxed with PBEsol, computed with SCAN.

```
SiNiMo2
1.0
2.493 -3.895 0.000
2.493 3.895 0.000
0.000 0.000 2.733
Si Ni Mo
1 1 2
Direct
0.000 0.000 0.000 Si
0.500 0.500 0.000 Ni
0.000 0.500 0.500 Mo
0.500 0.000 0.500 Mo
```

Calculated values
D(E_F), states/eV per cell: 2.6
Calculated total energy, eV per atom: -24.039
Formation energy from raw total energies, eV per atom: -0.049

A crystal of Si2NiMo relaxed with PBEsol, computed with SCAN.

```
Si2NiMo
1.0
-1.642 2.064 3.705
1.642 -2.064 3.705
1.642 2.064 -3.705
Si Ni Mo
2 1 1
Direct
0.236 0.236 0.000 Si
0.764 0.764 0.000 Si
0.000 0.500 0.500 Ni
0.500 0.000 0.500 Mo
```

Calculated values
D(E_F), states/eV per cell: 2.3
Calculated total energy, eV per atom: -17.918
Formation energy from raw total energies, eV per atom: -0.146

A crystal of SiNi2Mo relaxed with PBEsol, computed with SCAN.

```
SiNi2Mo
1.0
1.335 0.771 7.951
-1.335 0.771 7.951
0.000 -1.541 7.951
Si Ni Mo
1 2 1
Direct
0.000 0.000 0.000 Si
0.490 0.490 0.490 Ni
0.740 0.740 0.740 Ni
0.243 0.243 0.243 Mo
```

Calculated values
D(E_F), states/eV per cell: 4.0
Calculated total energy, eV per atom: -19.259
Formation energy from raw total energies, eV per atom: 0.053

A crystal of SiNi3Mo2 relaxed with PBEsol, computed with SCAN.

```
SiNi3Mo2
1.0
4.694 0.000 0.000
-2.347 4.065 0.000
0.000 0.000 7.456
Si Ni Mo
2 6 4
Direct
0.000 0.000 0.000 Si
0.000 0.000 0.500 Si
0.170 0.339 0.250 Ni
0.170 0.830 0.250 Ni
0.339 0.170 0.750 Ni
0.661 0.830 0.250 Ni
0.830 0.170 0.750 Ni
0.830 0.661 0.750 Ni
0.333 0.667 0.565 Mo
0.333 0.667 0.935 Mo
0.667 0.333 0.065 Mo
0.667 0.333 0.435 Mo
```

Calculated values
D(E_F), states/eV per cell: 9.7
Calculated total energy, eV per atom: -21.744
Formation energy from raw total energies, eV per atom: -0.360

A crystal of SiNi2Mo relaxed with PBEsol, computed with SCAN.

```
SiNi2Mo
1.0
1.319 0.762 7.998
-1.319 0.762 7.998
0.000 -1.523 7.998
Si Ni Mo
1 2 1
Direct
0.000 0.000 0.000 Si
0.258 0.258 0.258 Ni
0.742 0.742 0.742 Ni
0.500 0.500 0.500 Mo
```

Calculated values
D(E_F), states/eV per cell: 2.8
Calculated total energy, eV per atom: -19.376
Formation energy from raw total energies, eV per atom: -0.064

A crystal of SiNi2Mo relaxed with PBEsol, computed with SCAN.

```
SiNi2Mo
1.0
-1.350 2.116 4.203
1.350 -2.116 4.203
1.350 2.116 -4.203
Si Ni Mo
1 2 1
Direct
0.000 0.000 0.000 Si
0.216 0.716 0.500 Ni
0.474 0.474 0.000 Ni
0.746 0.246 0.500 Mo
```

Calculated values
D(E_F), states/eV per cell: 2.7
Calculated total energy, eV per atom: -19.459
Formation energy from raw total energies, eV per atom: -0.147

A crystal of NiSnMo3 relaxed with PBEsol, computed with SCAN.

```
NiSnMo3
1.0
4.795 0.000 0.000
0.000 4.795 0.000
0.000 0.000 4.795
Ni Sn Mo
1 1 3
Direct
0.000 0.000 0.000 Ni
0.500 0.500 0.500 Sn
0.000 0.500 0.500 Mo
0.500 0.000 0.500 Mo
0.500 0.500 0.000 Mo
```

Calculated values
D(E_F), states/eV per cell: 5.8
Formation energy from the elements, meV/atom: 2720
Calculated total energy, eV per atom: -28.630

A crystal of SrNiMo relaxed with PBEsol, computed with SCAN.

```
SrNiMo
1.0
3.965 0.000 0.000
-1.983 3.434 0.000
0.000 0.000 4.958
Sr Ni Mo
1 1 1
Direct
0.000 0.000 0.000 Sr
0.667 0.333 0.500 Ni
0.333 0.667 0.500 Mo
```

Calculated values
D(E_F), states/eV per cell: 2.2
Formation energy from the elements, meV/atom: 577
Calculated total energy, eV per atom: -23.868

A crystal of Ta2NiMo relaxed with PBEsol, computed with SCAN.

```
Ta2NiMo
1.0
2.714 0.000 0.000
0.000 4.510 0.000
-0.839 0.000 5.024
Ta Ni Mo
2 1 1
Direct
0.000 0.000 0.000 Ta
0.265 0.500 0.725 Ta
0.515 0.000 0.502 Ni
0.746 0.500 0.223 Mo
```

Calculated values
D(E_F), states/eV per cell: 3.7
Formation energy from the elements, meV/atom: 52
Calculated total energy, eV per atom: -46.004

A crystal of TaNiMo2 relaxed with PBEsol, computed with SCAN.

```
TaNiMo2
1.0
-1.898 1.898 4.100
1.898 -1.898 4.100
1.898 1.898 -4.100
Ta Ni Mo
1 1 2
Direct
0.000 0.000 0.000 Ta
0.500 0.500 0.000 Ni
0.250 0.750 0.500 Mo
0.750 0.250 0.500 Mo
```

Calculated values
D(E_F), states/eV per cell: 4.2
Formation energy from the elements, meV/atom: 164
Calculated total energy, eV per atom: -37.967

A crystal of TaNiMo2 relaxed with PBEsol, computed with SCAN.

```
TaNiMo2
1.0
3.704 0.000 0.000
0.000 3.704 0.000
0.000 0.000 4.278
Ta Ni Mo
1 1 2
Direct
0.000 0.000 0.000 Ta
0.500 0.500 0.000 Ni
0.000 0.500 0.500 Mo
0.500 0.000 0.500 Mo
```

Calculated values
D(E_F), states/eV per cell: 3.9
Formation energy from the elements, meV/atom: 40
Calculated total energy, eV per atom: -38.091

A crystal of TaNiMo2 relaxed with PBEsol, computed with SCAN.

```
TaNiMo2
1.0
2.614 0.000 0.000
0.000 3.978 0.000
0.000 0.000 5.709
Ta Ni Mo
1 1 2
Direct
0.000 0.000 0.000 Ta
0.000 0.000 0.500 Ni
0.500 0.500 0.273 Mo
0.500 0.500 0.727 Mo
```

Calculated values
D(E_F), states/eV per cell: 4.0
Formation energy from the elements, meV/atom: 245
Calculated total energy, eV per atom: -37.886

A crystal of Ta2NiMo relaxed with PBEsol, computed with SCAN.

```
Ta2NiMo
1.0
1.390 0.803 9.303
-1.390 0.803 9.303
0.000 -1.606 9.303
Ta Ni Mo
2 1 1
Direct
0.000 0.000 0.000 Ta
0.240 0.240 0.240 Ta
0.743 0.743 0.743 Ni
0.484 0.484 0.484 Mo
```

Calculated values
D(E_F), states/eV per cell: 4.1
Formation energy from the elements, meV/atom: 276
Calculated total energy, eV per atom: -45.780

A crystal of Tc2NiMo relaxed with PBEsol, computed with SCAN.

```
Tc2NiMo
1.0
3.773 0.000 0.000
0.000 3.773 0.000
0.000 0.000 3.741
Tc Ni Mo
2 1 1
Direct
0.000 0.500 0.000 Tc
0.500 0.000 0.000 Tc
0.000 0.000 0.500 Ni
0.500 0.500 0.500 Mo
```

Calculated values
D(E_F), states/eV per cell: 2.8
Formation energy from the elements, meV/atom: -17
Calculated total energy, eV per atom: -30.312

A crystal of TcNiMo relaxed with PBEsol, computed with SCAN.

```
TcNiMo
1.0
-1.262 1.974 4.007
1.262 -1.974 4.007
1.262 1.974 -4.007
Tc Ni Mo
1 1 1
Direct
0.000 0.000 0.000 Tc
0.657 0.657 0.000 Ni
0.322 0.322 0.000 Mo
```

Calculated values
D(E_F), states/eV per cell: 3.2
Formation energy from the elements, meV/atom: 92
Calculated total energy, eV per atom: -28.614

A crystal of TcNi2Mo relaxed with PBEsol, computed with SCAN.

```
TcNi2Mo
1.0
2.532 0.000 0.000
0.000 4.069 0.000
-0.903 0.000 4.803
Tc Ni Mo
1 2 1
Direct
0.000 0.000 0.000 Tc
0.328 0.000 0.537 Ni
0.418 0.500 0.796 Ni
0.744 0.500 0.322 Mo
```

Calculated values
D(E_F), states/eV per cell: 2.1
Formation energy from the elements, meV/atom: -21
Calculated total energy, eV per atom: -25.594